[1]
LaTaP3 after structural relaxation. Source: Alexandria, functional PBE.

Properties
Fermi-level density of states: 8.74 states/eV/f.u.
ΔH_f (0 K): 157.37 kJ per mole of atoms
total DFT energy (no corrections): -4.971 eV per atom
energy relative to the lowest polymorph listed for this composition: 216.4 kJ/mol of atoms

Cell: 5.104 5.104 5.104 Å, 90.00 90.00 90.00°
Fractional coordinates of all 5 atoms:
La 0.000 0.000 0.000
Ta 0.500 0.500 0.500
P 0.000 0.000 0.500
P 0.000 0.500 0.000
P 0.500 0.000 0.000


[2]
NaY5Se6 after structural relaxation. Source: Alexandria, functional PBE.

Properties
Fermi-level density of states: 4.97 states/eV/f.u.
total DFT energy (no corrections): -6.300 eV per atom
energy relative to the elements, uncorrected: -1754 meV per atom

Cell: 7.086 7.086 7.119 Å, 99.58 99.58 119.96°
Fractional coordinates of all 12 atoms:
Na 0.000 0.000 0.000
Y 0.163 0.837 0.500
Y 0.335 0.665 0.000
Y 0.500 0.500 0.500
Y 0.665 0.335 0.000
Y 0.837 0.163 0.500
Se 0.083 0.417 0.252
Se 0.250 0.250 0.754
Se 0.417 0.083 0.252
Se 0.583 0.917 0.748
Se 0.750 0.750 0.246
Se 0.917 0.583 0.748


[3]
ScVPt2 after structural relaxation. Source: Alexandria, functional PBE.

Properties
Fermi-level density of states: 4.52 states/eV/f.u.
ΔH_f (0 K): -70.50 kJ per mole of atoms
total DFT energy (no corrections): -7.614 eV per atom

Cell: 4.735 4.735 2.943 Å, 90.00 90.00 90.00°
Fractional coordinates of all 4 atoms:
Sc 0.000 0.000 0.000
V 0.500 0.500 0.000
Pt 0.000 0.500 0.500
Pt 0.500 0.000 0.500


[4]
CaCoI after structural relaxation. Source: Alexandria, functional PBE.

Properties
Fermi-level density of states: 1.30 states/eV/f.u.
total DFT energy (no corrections): -3.812 eV per atom
energy relative to the elements, uncorrected: -260 meV per atom

Cell: 7.598 3.911 11.009 Å, 90.00 90.00 90.00°
Fractional coordinates of all 12 atoms:
Ca 0.245 0.250 0.144
Ca 0.255 0.750 0.644
Ca 0.745 0.250 0.356
Ca 0.755 0.750 0.856
Co 0.060 0.250 0.478
Co 0.440 0.750 0.978
Co 0.560 0.250 0.022
Co 0.940 0.750 0.522
I 0.100 0.250 0.854
I 0.400 0.750 0.354
I 0.600 0.250 0.646
I 0.900 0.750 0.146


[5]
BaLi2La after structural relaxation. Source: Alexandria, functional PBE.

Properties
Fermi-level density of states: 5.38 states/eV/f.u.
ΔH_f (0 K): 15.60 kJ per mole of atoms
total DFT energy (no corrections): -2.508 eV per atom
energy relative to the lowest polymorph listed for this composition: 4.3 kJ/mol of atoms

Cell: 6.644 6.644 5.944 Å, 108.81 108.81 33.16°
Fractional coordinates of all 4 atoms:
Ba 0.000 0.000 0.000
Li 0.240 0.240 0.808
Li 0.556 0.556 0.541
La 0.801 0.801 0.364


[6]
Dy3Re5N12 after structural relaxation. Source: Alexandria, functional PBE.

Properties
Fermi-level density of states: 6.95 states/eV/f.u.
total DFT energy (no corrections): -9.315 eV per atom
energy relative to the elements, uncorrected: -517 meV per atom

Cell: 11.039 11.039 11.039 Å, 109.47 109.47 109.47°
Fractional coordinates of all 80 atoms:
Dy 0.125 0.250 0.375
Dy 0.125 0.375 0.750
Dy 0.250 0.375 0.125
Dy 0.250 0.875 0.625
Dy 0.375 0.125 0.250
Dy 0.375 0.750 0.125
Dy 0.625 0.250 0.875
Dy 0.625 0.875 0.750
Dy 0.750 0.125 0.375
Dy 0.750 0.625 0.875
Dy 0.875 0.625 0.250
Dy 0.875 0.750 0.625
Re 0.000 0.000 0.000
Re 0.000 0.000 0.500
Re 0.000 0.500 0.000
Re 0.000 0.500 0.500
Re 0.125 0.750 0.875
Re 0.125 0.875 0.250
Re 0.250 0.125 0.875
Re 0.250 0.625 0.375
Re 0.375 0.250 0.625
Re 0.375 0.625 0.750
Re 0.500 0.000 0.000
Re 0.500 0.000 0.500
Re 0.500 0.500 0.000
Re 0.500 0.500 0.500
Re 0.625 0.375 0.250
Re 0.625 0.750 0.375
Re 0.750 0.375 0.625
Re 0.750 0.875 0.125
Re 0.875 0.125 0.750
Re 0.875 0.250 0.125
N 0.017 0.198 0.117
N 0.017 0.319 0.900
N 0.081 0.698 0.681
N 0.081 0.883 0.400
N 0.100 0.617 0.419
N 0.100 0.983 0.681
N 0.117 0.017 0.198
N 0.117 0.600 0.919
N 0.181 0.198 0.581
N 0.181 0.483 0.600
N 0.198 0.117 0.017
N 0.198 0.581 0.181
N 0.302 0.319 0.919
N 0.302 0.483 0.383
N 0.319 0.900 0.017
N 0.319 0.919 0.302
N 0.383 0.302 0.483
N 0.383 0.581 0.900
N 0.400 0.081 0.883
N 0.400 0.819 0.517
N 0.419 0.100 0.617
N 0.419 0.819 0.802
N 0.483 0.383 0.302
N 0.483 0.600 0.181
N 0.517 0.400 0.819
N 0.517 0.617 0.698
N 0.581 0.181 0.198
N 0.581 0.900 0.383
N 0.600 0.181 0.483
N 0.600 0.919 0.117
N 0.617 0.419 0.100
N 0.617 0.698 0.517
N 0.681 0.081 0.698
N 0.681 0.100 0.983
N 0.698 0.517 0.617
N 0.698 0.681 0.081
N 0.802 0.419 0.819
N 0.802 0.883 0.983
N 0.819 0.517 0.400
N 0.819 0.802 0.419
N 0.883 0.400 0.081
N 0.883 0.983 0.802
N 0.900 0.017 0.319
N 0.900 0.383 0.581
N 0.919 0.117 0.600
N 0.919 0.302 0.319
N 0.983 0.681 0.100
N 0.983 0.802 0.883


[7]
In5Hg12Se3 after structural relaxation. Source: Alexandria, functional PBE.

Properties
Fermi-level density of states: 8.48 states/eV/f.u.
total DFT energy (no corrections): -1.355 eV per atom
energy relative to the elements, uncorrected: 33 meV per atom

Cell: 14.877 14.877 14.877 Å, 109.47 109.47 109.47°
Fractional coordinates of all 80 atoms:
In 0.000 0.000 0.000
In 0.000 0.000 0.500
In 0.000 0.500 0.000
In 0.000 0.500 0.500
In 0.125 0.750 0.875
In 0.125 0.875 0.250
In 0.250 0.125 0.875
In 0.250 0.625 0.375
In 0.375 0.250 0.625
In 0.375 0.625 0.750
In 0.500 0.000 0.000
In 0.500 0.000 0.500
In 0.500 0.500 0.000
In 0.500 0.500 0.500
In 0.625 0.375 0.250
In 0.625 0.750 0.375
In 0.750 0.375 0.625
In 0.750 0.875 0.125
In 0.875 0.125 0.750
In 0.875 0.250 0.125
Hg 0.061 0.234 0.125
Hg 0.061 0.327 0.936
Hg 0.064 0.625 0.391
Hg 0.064 0.939 0.673
Hg 0.109 0.734 0.673
Hg 0.109 0.875 0.436
Hg 0.125 0.061 0.234
Hg 0.125 0.564 0.891
Hg 0.173 0.234 0.609
Hg 0.173 0.439 0.564
Hg 0.234 0.125 0.061
Hg 0.234 0.609 0.173
Hg 0.266 0.327 0.891
Hg 0.266 0.439 0.375
Hg 0.327 0.891 0.266
Hg 0.327 0.936 0.061
Hg 0.375 0.266 0.439
Hg 0.375 0.609 0.936
Hg 0.391 0.064 0.625
Hg 0.391 0.827 0.766
Hg 0.436 0.109 0.875
Hg 0.436 0.827 0.561
Hg 0.439 0.375 0.266
Hg 0.439 0.564 0.173
Hg 0.561 0.436 0.827
Hg 0.561 0.625 0.734
Hg 0.564 0.173 0.439
Hg 0.564 0.891 0.125
Hg 0.609 0.173 0.234
Hg 0.609 0.936 0.375
Hg 0.625 0.391 0.064
Hg 0.625 0.734 0.561
Hg 0.673 0.064 0.939
Hg 0.673 0.109 0.734
Hg 0.734 0.561 0.625
Hg 0.734 0.673 0.109
Hg 0.766 0.391 0.827
Hg 0.766 0.875 0.939
Hg 0.827 0.561 0.436
Hg 0.827 0.766 0.391
Hg 0.875 0.436 0.109
Hg 0.875 0.939 0.766
Hg 0.891 0.125 0.564
Hg 0.891 0.266 0.327
Hg 0.936 0.061 0.327
Hg 0.936 0.375 0.609
Hg 0.939 0.673 0.064
Hg 0.939 0.766 0.875
Se 0.125 0.250 0.375
Se 0.125 0.375 0.750
Se 0.250 0.375 0.125
Se 0.250 0.875 0.625
Se 0.375 0.125 0.250
Se 0.375 0.750 0.125
Se 0.625 0.250 0.875
Se 0.625 0.875 0.750
Se 0.750 0.125 0.375
Se 0.750 0.625 0.875
Se 0.875 0.625 0.250
Se 0.875 0.750 0.625


[8]
DyHoMg3 after structural relaxation. Source: Alexandria, functional PBE.

Properties
Fermi-level density of states: 5.59 states/eV/f.u.
ΔH_f (0 K): 2.21 kJ per mole of atoms
total DFT energy (no corrections): -2.770 eV per atom
energy relative to the lowest polymorph listed for this composition: 4.9 kJ/mol of atoms

Cell: 8.970 8.970 8.970 Å, 40.32 40.32 40.32°
Fractional coordinates of all 10 atoms:
Dy 0.067 0.067 0.067
Dy 0.933 0.933 0.933
Ho 0.335 0.335 0.335
Ho 0.665 0.665 0.665
Mg 0.111 0.621 0.621
Mg 0.379 0.379 0.889
Mg 0.379 0.889 0.379
Mg 0.621 0.111 0.621
Mg 0.621 0.621 0.111
Mg 0.889 0.379 0.379


[9]
Li4ReHg after structural relaxation. Source: Alexandria, functional PBE.

Properties
Fermi-level density of states: 5.26 states/eV/f.u.
ΔH_f (0 K): 44.01 kJ per mole of atoms
total DFT energy (no corrections): -2.945 eV per atom

Cell: 4.984 4.984 4.984 Å, 60.00 60.00 60.00°
Fractional coordinates of all 6 atoms:
Li 0.124 0.124 0.124
Li 0.124 0.124 0.629
Li 0.124 0.629 0.124
Li 0.629 0.124 0.124
Re 0.750 0.750 0.750
Hg 0.500 0.500 0.500


[10]
LiCd2H6Ir after structural relaxation. Source: Alexandria, functional PBE.

Properties
Fermi-level density of states: 1.30 states/eV/f.u.
total DFT energy (no corrections): -3.288 eV per atom

Cell: 4.681 4.681 5.438 Å, 90.00 90.00 120.00°
Fractional coordinates of all 10 atoms:
Li 0.000 0.000 0.000
Cd 0.333 0.667 0.236
Cd 0.667 0.333 0.764
H 0.166 0.332 0.685
H 0.166 0.834 0.685
H 0.332 0.166 0.315
H 0.668 0.834 0.685
H 0.834 0.166 0.315
H 0.834 0.668 0.315
Ir 0.000 0.000 0.500


[11]
NaPdAu after structural relaxation. Source: Alexandria, functional PBE.

Properties
Fermi-level density of states: 0.86 states/eV/f.u.
ΔH_f (0 K): -17.77 kJ per mole of atoms
total DFT energy (no corrections): -3.447 eV per atom
energy relative to the lowest polymorph listed for this composition: 11.8 kJ/mol of atoms

Cell: 4.875 4.875 5.725 Å, 100.05 100.05 53.68°
Fractional coordinates of all 6 atoms:
Na 0.170 0.170 0.079
Na 0.830 0.830 0.921
Pd 0.161 0.161 0.568
Pd 0.839 0.839 0.432
Au 0.490 0.490 0.740
Au 0.510 0.510 0.260


[12]
ScCSeN2 after structural relaxation. Source: Alexandria, functional PBE.

Properties
Fermi-level density of states: 3.58 states/eV/f.u.
total DFT energy (no corrections): -5.176 eV per atom
energy relative to the lowest polymorph listed for this composition: 55.3 kJ/mol of atoms
energy relative to the elements, uncorrected: 1962 meV per atom

Cell: 4.137 4.137 5.479 Å, 90.00 90.00 90.00°
Fractional coordinates of all 5 atoms:
Sc 0.000 0.000 0.000
C 0.500 0.500 0.500
Se 0.000 0.000 0.500
N 0.000 0.500 0.000
N 0.500 0.000 0.000